Material: Re3RuBr
Method: DFT, PBE
State: optimized geometry

a = 4.4862 Å, b = 4.4862 Å, c = 4.4862 Å
α = 90.00°, β = 90.00°, γ = 90.00°
Last column: nearest neighbours and their distance in Å.
Atoms (fractional coordinates):
1 Re 0.0000 0.5000 0.0000  2 Br 2.24
2 Re 0.0000 0.0000 0.5000  2 Br 2.24
3 Re 0.5000 0.0000 0.0000  2 Br 2.24
4 Br 0.0000 0.0000 0.0000  6 Re 2.24
5 Ru 0.5000 0.5000 0.5000  12 Re 3.17

Values from the calculation:
Spin magnetization   0.01 μB per formula unit
Offset from the most stable computed form   33 meV per atom
Uncorrected formation energy   2.487 eV/atom
Density   13.602 Mg/m³

---

Material: TcRuS2
Method: DFT, PBE
State: optimized geometry

a = 5.2206 Å, b = 5.2206 Å, c = 6.3861 Å
α = 65.87°, β = 65.87°, γ = 90.00°
Last column: nearest neighbours and their distance in Å.
Atoms (fractional coordinates):
1 Ru 0.0000 0.0000 0.0000  4 S 2.26
2 Ru 0.7500 0.2500 0.5000  4 S 2.26
3 S 0.6251 0.1250 0.2500  2 Ru 2.26, 2 Tc 2.26
4 S 0.1249 0.6250 0.2500  2 Ru 2.26, 2 Tc 2.26
5 S 0.3750 0.3749 0.7500  2 Ru 2.26, 2 Tc 2.26
6 S 0.8750 0.8751 0.7500  2 Ru 2.26, 2 Tc 2.26
7 Tc 0.5000 0.5000 0.0000  4 S 2.26
8 Tc 0.2500 0.7500 0.5000  4 S 2.26

Values from the calculation:
Spin magnetization   0.00 μB per formula unit
Offset from the most stable computed form   0 meV per atom
Uncorrected formation energy   -0.176 eV/atom
Density   6.155 Mg/m³